1.
Si2NiW: optimized geometry, PBE-GGA.

The structure in CIF format:
```
data_Si2NiW
_symmetry_space_group_name_H-M 'P 1'
_symmetry_Int_Tables_number 1
_cell_length_a 6.402
_cell_length_b 6.402
_cell_length_c 5.503
_cell_angle_alpha 90.00
_cell_angle_beta 90.00
_cell_angle_gamma 90.00
loop_
_symmetry_equiv_pos_as_xyz
'x,y,z'
loop_
_atom_site_label
_atom_site_type_symbol
_atom_site_fract_x
_atom_site_fract_y
_atom_site_fract_z
Si1 Si 0.209 0.250 0.125
Si2 Si 0.250 0.709 0.375
Si3 Si 0.250 0.791 0.875
Si4 Si 0.291 0.250 0.625
Si5 Si 0.709 0.750 0.625
Si6 Si 0.750 0.209 0.875
Si7 Si 0.750 0.291 0.375
Si8 Si 0.791 0.750 0.125
Ni1 Ni 0.000 0.000 0.000
Ni2 Ni 0.000 0.500 0.250
Ni3 Ni 0.500 0.000 0.750
Ni4 Ni 0.500 0.500 0.500
W1 W 0.000 0.000 0.500
W2 W 0.000 0.500 0.750
W3 W 0.500 0.000 0.250
W4 W 0.500 0.500 0.000
```

Values from the calculation:
Electronic total energy, eV/atom: -7.138
E_form (uncorrected), eV per atom: 0.26
Total moment, μB/atom: 0.00
Symmetry: No. 122
V, Å³/cell: 226
Calculated density, g/cm3: 8.796


2.
Cd3In4Ga2: optimized geometry, PBE-GGA.

The structure in CIF format:
```
data_Cd3In4Ga2
_symmetry_space_group_name_H-M 'P 1'
_symmetry_Int_Tables_number 1
_cell_length_a 9.411
_cell_length_b 9.411
_cell_length_c 6.212
_cell_angle_alpha 91.37
_cell_angle_beta 91.37
_cell_angle_gamma 53.02
loop_
_symmetry_equiv_pos_as_xyz
'x,y,z'
loop_
_atom_site_label
_atom_site_type_symbol
_atom_site_fract_x
_atom_site_fract_y
_atom_site_fract_z
Cd1 Cd 0.000 0.000 0.250
Cd2 Cd 0.000 0.000 0.750
Cd3 Cd 0.237 0.469 0.878
Cd4 Cd 0.469 0.237 0.378
Cd5 Cd 0.531 0.763 0.622
Cd6 Cd 0.763 0.531 0.122
In1 In 0.135 0.197 0.000
In2 In 0.197 0.135 0.500
In3 In 0.287 0.643 0.491
In4 In 0.357 0.713 0.009
In5 In 0.643 0.287 0.991
In6 In 0.713 0.357 0.509
In7 In 0.803 0.865 0.500
In8 In 0.865 0.803 0.000
Ga1 Ga 0.090 0.493 0.324
Ga2 Ga 0.493 0.090 0.824
Ga3 Ga 0.507 0.910 0.176
Ga4 Ga 0.910 0.507 0.676
```

Values from the calculation:
Electronic total energy, eV/atom: -2.140
Calculated formation energy, eV/f.u.: 0.494
Total moment, μB/atom: 0.00
Symmetry: No. 15
V, Å³/cell: 439
Calculated density, g/cm3: 7.074


3.
Pr4Dy2Tm5: optimized geometry, PBE-GGA.

The structure in CIF format:
```
data_Pr4Dy2Tm5
_symmetry_space_group_name_H-M 'P 1'
_symmetry_Int_Tables_number 1
_cell_length_a 12.319
_cell_length_b 12.319
_cell_length_c 8.779
_cell_angle_alpha 100.92
_cell_angle_beta 100.92
_cell_angle_gamma 16.49
loop_
_symmetry_equiv_pos_as_xyz
'x,y,z'
loop_
_atom_site_label
_atom_site_type_symbol
_atom_site_fract_x
_atom_site_fract_y
_atom_site_fract_z
Pr1 Pr 0.029 0.029 0.200
Pr2 Pr 0.370 0.370 0.968
Pr3 Pr 0.630 0.630 0.032
Pr4 Pr 0.971 0.971 0.800
Dy1 Dy 0.104 0.104 0.678
Dy2 Dy 0.896 0.896 0.322
Tm1 Tm 0.188 0.188 0.400
Tm2 Tm 0.231 0.231 0.828
Tm3 Tm 0.500 0.500 0.500
Tm4 Tm 0.769 0.769 0.172
Tm5 Tm 0.812 0.812 0.600
```

Values from the calculation:
Electronic total energy, eV/atom: -4.382
Calculated formation energy, eV/f.u.: 2.473
Total moment, μB/atom: 0.00
Symmetry: No. 12
V, Å³/cell: 371
Calculated density, g/cm3: 7.756


4.
Hf2Al5Cu4: optimized geometry, PBE-GGA.

The structure in CIF format:
```
data_Hf2Al5Cu4
_symmetry_space_group_name_H-M 'P 1'
_symmetry_Int_Tables_number 1
_cell_length_a 9.123
_cell_length_b 8.492
_cell_length_c 4.985
_cell_angle_alpha 80.66
_cell_angle_beta 66.71
_cell_angle_gamma 32.63
loop_
_symmetry_equiv_pos_as_xyz
'x,y,z'
loop_
_atom_site_label
_atom_site_type_symbol
_atom_site_fract_x
_atom_site_fract_y
_atom_site_fract_z
Hf1 Hf 0.101 0.101 0.899
Hf2 Hf 0.899 0.899 0.101
Al1 Al 0.000 0.000 0.500
Al2 Al 0.250 0.250 0.250
Al3 Al 0.500 0.500 0.000
Al4 Al 0.500 0.500 0.500
Al5 Al 0.750 0.750 0.750
Cu1 Cu 0.213 0.528 0.472
Cu2 Cu 0.472 0.787 0.213
Cu3 Cu 0.528 0.213 0.787
Cu4 Cu 0.787 0.472 0.528
```

Values from the calculation:
Electronic total energy, eV/atom: -5.145
Calculated formation energy, eV/f.u.: -1.585
Total moment, μB/atom: 0.00
Symmetry: No. 69
V, Å³/cell: 180
Calculated density, g/cm3: 6.899


Which of these has the highest V? Cd3In4Ga2